VASP calculation (PBE) on Nd3NiAu3 after structural relaxation.

space-group type: No. 44
energy of formation from the pure elements: -65.3 kJ/mol of atoms
raw total energy: -0.3638 Ry/atom

Structure (CIF):
```
data_Nd3NiAu3
_cell_length_a 9.9571
_cell_length_b 9.9571
_cell_length_c 9.9571
_cell_angle_alpha 157.15
_cell_angle_beta 153.28
_cell_angle_gamma 35.44
_space_group_name_H-M_alt 'P 1'
_space_group_IT_number 1
loop_
_space_group_symop_operation_xyz
'x,y,z'
loop_
_atom_site_label
_atom_site_fract_x
_atom_site_fract_y
_atom_site_fract_z
Nd1 0.0000 0.0000 0.0000
Nd2 0.3631 0.3631 0.0000
Nd3 0.6900 0.1900 0.5000
Ni1 0.2576 0.7576 0.5000
Au1 0.1256 0.6256 0.5000
Au2 0.5308 0.5308 0.0000
Au3 0.8280 0.8280 0.0000
```

---

VASP calculation (PBE) on NdNiAu after structural relaxation.

space-group type: No. 14
energy of formation from the pure elements: -53.0 kJ/mol of atoms
raw total energy: -0.3791 Ry/atom

Structure (CIF):
```
data_NdNiAu
_cell_length_a 6.2517
_cell_length_b 5.4942
_cell_length_c 7.6489
_cell_angle_alpha 90.00
_cell_angle_beta 111.62
_cell_angle_gamma 90.00
_space_group_name_H-M_alt 'P 1'
_space_group_IT_number 1
loop_
_space_group_symop_operation_xyz
'x,y,z'
loop_
_atom_site_label
_atom_site_fract_x
_atom_site_fract_y
_atom_site_fract_z
Nd1 0.1927 0.1158 0.3752
Nd2 0.1927 0.3842 0.8752
Nd3 0.8073 0.6158 0.1248
Nd4 0.8073 0.8842 0.6248
Ni1 0.1677 0.6173 0.5212
Ni2 0.1677 0.8827 0.0212
Ni3 0.8323 0.1173 0.9788
Ni4 0.8323 0.3827 0.4788
Au1 0.4059 0.5960 0.2961
Au2 0.4059 0.9040 0.7961
Au3 0.5941 0.0960 0.2039
Au4 0.5941 0.4040 0.7039
```

---

VASP calculation (PBE) on Nd4NiAu after structural relaxation.

space-group type: No. 11
E above lowest polymorph: 0.0 meV per atom
energy of formation from the pure elements: -33.2 kJ/mol of atoms
raw total energy: -0.3699 Ry/atom

Structure (CIF):
```
data_Nd4NiAu
_cell_length_a 6.3027
_cell_length_b 7.1689
_cell_length_c 8.0306
_cell_angle_alpha 90.00
_cell_angle_beta 108.72
_cell_angle_gamma 90.00
_space_group_name_H-M_alt 'P 1'
_space_group_IT_number 1
loop_
_space_group_symop_operation_xyz
'x,y,z'
loop_
_atom_site_label
_atom_site_fract_x
_atom_site_fract_y
_atom_site_fract_z
Nd1 0.0101 0.0021 0.2305
Nd2 0.0101 0.4979 0.2305
Nd3 0.4238 0.2500 0.6215
Nd4 0.4334 0.2500 0.0919
Nd5 0.5666 0.7500 0.9081
Nd6 0.5762 0.7500 0.3785
Nd7 0.9899 0.5021 0.7695
Nd8 0.9899 0.9979 0.7695
Ni1 0.2183 0.7500 0.0556
Ni2 0.7817 0.2500 0.9444
Au1 0.2122 0.7500 0.5532
Au2 0.7878 0.2500 0.4468
```

---

VASP calculation (PBE) on Nd4NiAu after structural relaxation.

space-group type: No. 14
E above lowest polymorph: 76.8 meV per atom
energy of formation from the pure elements: -25.8 kJ/mol of atoms
raw total energy: -0.3642 Ry/atom

Structure (CIF):
```
data_Nd4NiAu
_cell_length_a 7.0521
_cell_length_b 7.2898
_cell_length_c 7.1207
_cell_angle_alpha 90.00
_cell_angle_beta 95.21
_cell_angle_gamma 90.00
_space_group_name_H-M_alt 'P 1'
_space_group_IT_number 1
loop_
_space_group_symop_operation_xyz
'x,y,z'
loop_
_atom_site_label
_atom_site_fract_x
_atom_site_fract_y
_atom_site_fract_z
Nd1 0.1607 0.1674 0.1882
Nd2 0.1607 0.3326 0.6882
Nd3 0.3233 0.6554 0.1267
Nd4 0.3233 0.8446 0.6267
Nd5 0.6767 0.1554 0.3733
Nd6 0.6767 0.3446 0.8733
Nd7 0.8393 0.6674 0.3118
Nd8 0.8393 0.8326 0.8118
Ni1 0.0000 0.0000 0.5000
Ni2 0.0000 0.5000 0.0000
Au1 0.5000 0.0000 0.0000
Au2 0.5000 0.5000 0.5000
```

---

VASP calculation (PBE) on NdNiAu11 after structural relaxation.

space-group type: No. 12
energy of formation from the pure elements: -18.2 kJ/mol of atoms
raw total energy: -0.2773 Ry/atom

Structure (CIF):
```
data_NdNiAu11
_cell_length_a 7.3638
_cell_length_b 7.3638
_cell_length_c 7.1552
_cell_angle_alpha 98.16
_cell_angle_beta 98.16
_cell_angle_gamma 135.96
_space_group_name_H-M_alt 'P 1'
_space_group_IT_number 1
loop_
_space_group_symop_operation_xyz
'x,y,z'
loop_
_atom_site_label
_atom_site_fract_x
_atom_site_fract_y
_atom_site_fract_z
Nd1 0.0000 0.0000 0.0000
Ni1 0.0000 0.0000 0.5000
Au1 0.0000 0.5000 0.0000
Au2 0.0060 0.6717 0.6444
Au3 0.2763 0.4845 0.7835
Au4 0.3283 0.9940 0.3556
Au5 0.4845 0.2763 0.7835
Au6 0.5000 0.0000 0.0000
Au7 0.5000 0.5000 0.5000
Au8 0.5155 0.7237 0.2165
Au9 0.6717 0.0060 0.6444
Au10 0.7237 0.5155 0.2165
Au11 0.9940 0.3283 0.3556
```

---

VASP calculation (PBE) on NdNiAu after structural relaxation.

space-group type: No. 187
energy of formation from the pure elements: -49.2 kJ/mol of atoms
raw total energy: -0.3762 Ry/atom

Structure (CIF):
```
data_NdNiAu
_cell_length_a 4.4322
_cell_length_b 4.4322
_cell_length_c 3.7731
_cell_angle_alpha 90.00
_cell_angle_beta 90.00
_cell_angle_gamma 120.00
_space_group_name_H-M_alt 'P 1'
_space_group_IT_number 1
loop_
_space_group_symop_operation_xyz
'x,y,z'
loop_
_atom_site_label
_atom_site_fract_x
_atom_site_fract_y
_atom_site_fract_z
Nd1 0.0000 0.0000 0.0000
Ni1 0.6667 0.3333 0.5000
Au1 0.3333 0.6667 0.5000
```

---

VASP calculation (PBE) on Nd6Ni2Au after structural relaxation.

space-group type: No. 71
energy of formation from the pure elements: -30.6 kJ/mol of atoms
raw total energy: -0.3781 Ry/atom

Structure (CIF):
```
data_Nd6Ni2Au
_cell_length_a 8.5991
_cell_length_b 8.5991
_cell_length_c 8.5991
_cell_angle_alpha 113.18
_cell_angle_beta 108.44
_cell_angle_gamma 106.86
_space_group_name_H-M_alt 'P 1'
_space_group_IT_number 1
loop_
_space_group_symop_operation_xyz
'x,y,z'
loop_
_atom_site_label
_atom_site_fract_x
_atom_site_fract_y
_atom_site_fract_z
Nd1 0.0351 0.2294 0.8057
Nd2 0.1782 0.2905 0.4686
Nd3 0.1782 0.7095 0.8877
Nd4 0.3276 0.0224 0.6948
Nd5 0.3276 0.6327 0.3052
Nd6 0.4238 0.2294 0.1943
Nd7 0.5762 0.7706 0.8057
Nd8 0.6724 0.3673 0.6948
Nd9 0.6724 0.9776 0.3052
Nd10 0.8218 0.2905 0.1123
Nd11 0.8218 0.7095 0.5314
Nd12 0.9649 0.7706 0.1943
Ni1 0.1225 0.6225 0.5000
Ni2 0.3588 0.0000 0.3588
Ni3 0.6412 0.0000 0.6412
Ni4 0.8775 0.3775 0.5000
Au1 0.0000 0.0000 0.0000
Au2 0.5000 0.5000 0.0000
```

---

VASP calculation (PBE) on Nd12NiAu6 after structural relaxation.

space-group type: No. 148
energy of formation from the pure elements: -38.5 kJ/mol of atoms
raw total energy: -0.3491 Ry/atom

Structure (CIF):
```
data_Nd12NiAu6
_cell_length_a 8.5929
_cell_length_b 8.5929
_cell_length_c 8.5929
_cell_angle_alpha 98.69
_cell_angle_beta 98.69
_cell_angle_gamma 98.69
_space_group_name_H-M_alt 'P 1'
_space_group_IT_number 1
loop_
_space_group_symop_operation_xyz
'x,y,z'
loop_
_atom_site_label
_atom_site_fract_x
_atom_site_fract_y
_atom_site_fract_z
Nd1 0.0357 0.9355 0.6851
Nd2 0.0645 0.3149 0.9643
Nd3 0.1829 0.5786 0.4263
Nd4 0.3149 0.9643 0.0645
Nd5 0.4214 0.5737 0.8171
Nd6 0.4263 0.1829 0.5786
Nd7 0.5737 0.8171 0.4214
Nd8 0.5786 0.4263 0.1829
Nd9 0.6851 0.0357 0.9355
Nd10 0.8171 0.4214 0.5737
Nd11 0.9355 0.6851 0.0357
Nd12 0.9643 0.0645 0.3149
Ni1 0.0000 0.0000 0.0000
Au1 0.1315 0.3049 0.6266
Au2 0.3049 0.6266 0.1315
Au3 0.3734 0.8685 0.6951
Au4 0.6266 0.1315 0.3049
Au5 0.6951 0.3734 0.8685
Au6 0.8685 0.6951 0.3734
```

---

VASP calculation (PBE) on Nd4Ni3Au after structural relaxation.

space-group type: No. 25
energy of formation from the pure elements: -40.6 kJ/mol of atoms
raw total energy: -0.3956 Ry/atom

Structure (CIF):
```
data_Nd4Ni3Au
_cell_length_a 3.8898
_cell_length_b 4.5189
_cell_length_c 10.5771
_cell_angle_alpha 90.00
_cell_angle_beta 90.00
_cell_angle_gamma 90.00
_space_group_name_H-M_alt 'P 1'
_space_group_IT_number 1
loop_
_space_group_symop_operation_xyz
'x,y,z'
loop_
_atom_site_label
_atom_site_fract_x
_atom_site_fract_y
_atom_site_fract_z
Nd1 0.0000 0.0000 0.0000
Nd2 0.0000 0.5000 0.2637
Nd3 0.5000 0.0000 0.4751
Nd4 0.5000 0.5000 0.7698
Ni1 0.0000 0.5000 0.5455
Ni2 0.5000 0.0000 0.1986
Ni3 0.5000 0.5000 0.0576
Au1 0.0000 0.0000 0.7011
```

---

VASP calculation (PBE) on Nd12Ni6Au after structural relaxation.

space-group type: No. 148
E above lowest polymorph: 150.5 meV per atom
energy of formation from the pure elements: -12.5 kJ/mol of atoms
raw total energy: -0.3777 Ry/atom

Structure (CIF):
```
data_Nd12Ni6Au
_cell_length_a 8.3678
_cell_length_b 8.3678
_cell_length_c 8.3678
_cell_angle_alpha 100.48
_cell_angle_beta 100.48
_cell_angle_gamma 100.48
_space_group_name_H-M_alt 'P 1'
_space_group_IT_number 1
loop_
_space_group_symop_operation_xyz
'x,y,z'
loop_
_atom_site_label
_atom_site_fract_x
_atom_site_fract_y
_atom_site_fract_z
Nd1 0.0702 0.9097 0.6680
Nd2 0.0903 0.3320 0.9298
Nd3 0.1798 0.5687 0.4132
Nd4 0.3320 0.9298 0.0903
Nd5 0.4132 0.1798 0.5687
Nd6 0.4313 0.5868 0.8202
Nd7 0.5687 0.4132 0.1798
Nd8 0.5868 0.8202 0.4313
Nd9 0.6680 0.0702 0.9097
Nd10 0.8202 0.4313 0.5868
Nd11 0.9097 0.6680 0.0702
Nd12 0.9298 0.0903 0.3320
Ni1 0.1363 0.3136 0.6101
Ni2 0.3136 0.6101 0.1363
Ni3 0.3899 0.8637 0.6864
Ni4 0.6101 0.1363 0.3136
Ni5 0.6864 0.3899 0.8637
Ni6 0.8637 0.6864 0.3899
Au1 0.0000 0.0000 0.0000
```

---

VASP calculation (PBE) on Nd12Ni6Au after structural relaxation.

space-group type: No. 204
E above lowest polymorph: 0.0 meV per atom
energy of formation from the pure elements: -27.0 kJ/mol of atoms
raw total energy: -0.3888 Ry/atom

Structure (CIF):
```
data_Nd12Ni6Au
_cell_length_a 8.6346
_cell_length_b 8.6346
_cell_length_c 8.6346
_cell_angle_alpha 109.47
_cell_angle_beta 109.47
_cell_angle_gamma 109.47
_space_group_name_H-M_alt 'P 1'
_space_group_IT_number 1
loop_
_space_group_symop_operation_xyz
'x,y,z'
loop_
_atom_site_label
_atom_site_fract_x
_atom_site_fract_y
_atom_site_fract_z
Nd1 0.1177 0.8146 0.3031
Nd2 0.1854 0.3031 0.4885
Nd3 0.1854 0.6969 0.8823
Nd4 0.3031 0.1177 0.8146
Nd5 0.3031 0.4885 0.1854
Nd6 0.4885 0.1854 0.3031
Nd7 0.5115 0.8146 0.6969
Nd8 0.6969 0.5115 0.8146
Nd9 0.6969 0.8823 0.1854
Nd10 0.8146 0.3031 0.1177
Nd11 0.8146 0.6969 0.5115
Nd12 0.8823 0.1854 0.6969
Ni1 0.1227 0.6227 0.5000
Ni2 0.3773 0.5000 0.8773
Ni3 0.5000 0.1227 0.6227
Ni4 0.5000 0.8773 0.3773
Ni5 0.6227 0.5000 0.1227
Ni6 0.8773 0.3773 0.5000
Au1 0.0000 0.0000 0.0000
```

---

VASP calculation (PBE) on Nd2Ni2Au after structural relaxation.

space-group type: No. 65
E above lowest polymorph: 0.0 meV per atom
energy of formation from the pure elements: -50.2 kJ/mol of atoms
raw total energy: -0.3966 Ry/atom

Structure (CIF):
```
data_Nd2Ni2Au
_cell_length_a 7.2451
_cell_length_b 7.2451
_cell_length_c 3.8134
_cell_angle_alpha 90.00
_cell_angle_beta 90.00
_cell_angle_gamma 148.38
_space_group_name_H-M_alt 'P 1'
_space_group_IT_number 1
loop_
_space_group_symop_operation_xyz
'x,y,z'
loop_
_atom_site_label
_atom_site_fract_x
_atom_site_fract_y
_atom_site_fract_z
Nd1 0.1308 0.8692 0.0000
Nd2 0.8692 0.1308 0.0000
Ni1 0.3010 0.6990 0.5000
Ni2 0.6990 0.3010 0.5000
Au1 0.5000 0.5000 0.5000
```